BaSb3, optimized geometry, DFT PBE; magnetization = 0.0 μB/cell; volume = 37.56 A^3/atom; uncorrected energy = -15.9 eV/f.u.; DOS(E_F) = 2.1 states/eV/cell
1.0
5.282 0.000 0.000
0.000 5.038 0.002
0.000 0.590 5.646
Ba Sb
1 3
direct
0.000 0.000 0.000
0.500 0.622 0.760
0.000 0.500 0.500
0.500 0.378 0.240